Compound: CoBr3F
Source: Alexandria
Functional: GGA+U
Structure: optimized geometry

Values from the calculation:
Space-group type: No. 221
Magnetic moment in μB/cell: 2.69
E_tot in eV per atom: -1.838
E above lowest polymorph in meV/atom: 387

Lattice parameters (Å, degrees): 4.9279 4.9279 4.9279 90.00 90.00 90.00
Fractional positions:
Co 0.0000 0.0000 0.0000
Br 0.0000 0.5000 0.5000
Br 0.5000 0.0000 0.5000
Br 0.5000 0.5000 0.0000
F 0.5000 0.5000 0.5000